# 1
# Pm2BeInPt6 | the Alexandria database | PBE | relaxed
# DFT formation energy: -0.750 eV per atom
# size of the total moment: 0.00 μB/cell
# crystal system: triclinic
# electronic total energy: -5.97 eV/atom
data_Pm2BeInPt6
_symmetry_space_group_name_H-M 'P -1'
_symmetry_Int_Tables_number 2
_cell_length_a 5.759
_cell_length_b 5.791
_cell_length_c 7.569
_cell_angle_alpha 89.29
_cell_angle_beta 67.67
_cell_angle_gamma 60.19
loop_
_symmetry_equiv_pos_as_xyz
'x,y,z'
'-x,-y,-z'
loop_
_atom_site_label
_atom_site_type_symbol
_atom_site_fract_x
_atom_site_fract_y
_atom_site_fract_z
Pm1 Pm 0.045 0.236 0.173
Be1 Be 0.500 0.000 0.500
In1 In 0.500 0.500 0.000
Pt1 Pt 0.035 0.223 0.697
Pt2 Pt 0.434 0.305 0.325
Pt3 Pt 0.451 0.778 0.304


# 2
# PmScBeIn | the Alexandria database | PBE | relaxed
# DFT formation energy: -0.099 eV per atom
# size of the total moment: 0.00 μB/cell
# crystal system: cubic
# electronic total energy: -4.49 eV/atom
data_PmScBeIn
_symmetry_space_group_name_H-M 'F -4 3 m'
_symmetry_Int_Tables_number 216
_symmetry_space_group_name_Hall 'F -4 2 3'
_cell_length_a 7.132
_cell_length_b 7.132
_cell_length_c 7.132
_cell_angle_alpha 90.00
_cell_angle_beta 90.00
_cell_angle_gamma 90.00
loop_
_atom_site_label
_atom_site_type_symbol
_atom_site_fract_x
_atom_site_fract_y
_atom_site_fract_z
Pm1 Pm 0.000 0.000 0.000
Sc1 Sc 0.000 0.000 0.500
Be1 Be 0.250 0.250 0.750
In1 In 0.250 0.250 0.250